Entry 1:
A plane-wave DFT calculation with PBE was carried out for a relaxed structure of MnFe3H8.

Total DFT energy (no corrections)   -5.072 eV/atom
SG   I4/mmm, No. 139

Structure (CIF):
```
data_MnFe3H8
_space_group_name_H-M_alt 'P 1'
_space_group_IT_number 1
_cell_length_a 4.074
_cell_length_b 4.074
_cell_length_c 5.004
_cell_angle_alpha 114.02
_cell_angle_beta 114.02
_cell_angle_gamma 90.00
loop_
_space_group_symop_operation_xyz
'x,y,z'
loop_
_atom_site_label
_atom_site_fract_x
_atom_site_fract_y
_atom_site_fract_z
Mn1 0.000 0.000 0.000
Fe1 0.750 0.250 0.500
Fe2 0.500 0.500 0.000
Fe3 0.250 0.750 0.500
H1 0.383 0.383 0.258
H2 0.383 0.875 0.258
H3 0.125 0.617 0.742
H4 0.125 0.125 0.742
H5 0.875 0.875 0.258
H6 0.875 0.383 0.258
H7 0.617 0.125 0.742
H8 0.617 0.617 0.742
```

***

Entry 2:
A plane-wave DFT calculation with PBE was carried out for a relaxed structure of Mn5Fe2H4.

Total DFT energy (no corrections)   -6.938 eV/atom
SG   P-1, No. 2

Structure (CIF):
```
data_Mn5Fe2H4
_space_group_name_H-M_alt 'P 1'
_space_group_IT_number 1
_cell_length_a 2.575
_cell_length_b 4.493
_cell_length_c 8.240
_cell_angle_alpha 79.88
_cell_angle_beta 108.28
_cell_angle_gamma 106.48
loop_
_space_group_symop_operation_xyz
'x,y,z'
loop_
_atom_site_label
_atom_site_fract_x
_atom_site_fract_y
_atom_site_fract_z
Mn1 0.229 0.875 0.292
Mn2 0.771 0.125 0.708
Mn3 0.059 0.272 0.422
Mn4 0.500 0.000 0.000
Mn5 0.941 0.728 0.578
Fe1 0.357 0.422 0.145
Fe2 0.643 0.578 0.855
H1 0.648 0.573 0.361
H2 0.930 0.704 0.078
H3 0.352 0.427 0.639
H4 0.070 0.296 0.922
```

***

Question: Look up the total DFT energy (no corrections) of the second one.
Answer: -6.938 eV/atom

***

Question: Which formula does entry 2 have?
Answer: Mn5Fe2H4

***

Question: Which formula does entry 2 have?
Answer: Mn5Fe2H4

***

Question: What is the formula in the first record?
Answer: MnFe3H8